Record 1
Material: Li2CdTe
Method: DFT, PBE
State: relaxed

Cell lengths 9.5199, 9.5199, 9.5199 Å; angles 21.24, 21.24, 21.24 degrees
Element x y z (fractional)
Te 0.5069 0.5069 0.5069
Li 0.0049 0.0049 0.0049
Li 0.2420 0.2420 0.2420
Cd 0.7461 0.7461 0.7461

Computed properties:
Energy relative to the elements, uncorrected   -149 meV/atom
ΔE to the lowest computed polymorph   376 meV per atom
Space-group type   No. 160


Record 2
Material: LiCdTe3
Method: DFT, PBE
State: relaxed

Cell lengths 5.1522, 5.1522, 5.1522 Å; angles 90.00, 90.00, 90.00 degrees
Element x y z (fractional)
Te 0.5000 0.0000 0.0000
Te 0.0000 0.5000 0.0000
Te 0.0000 0.0000 0.5000
Cd 0.5000 0.5000 0.5000
Li 0.0000 0.0000 0.0000

Computed properties:
Energy relative to the elements, uncorrected   189 meV/atom
ΔE to the lowest computed polymorph   0 meV per atom
Space-group type   No. 221


Record 3
Material: LiCdTe2
Method: DFT, PBE
State: relaxed

Cell lengths 3.1765, 3.1765, 11.0090 Å; angles 90.00, 90.00, 101.72 degrees
Element x y z (fractional)
Te 0.0000 0.0000 0.9488
Te 0.0000 0.0000 0.5512
Cd 0.5000 0.5000 0.2500
Li 0.5000 0.5000 0.7500

Computed properties:
Energy relative to the elements, uncorrected   -254 meV/atom
Space-group type   No. 65


Look up the energy relative to the elements, uncorrected of the second one. 189 meV/atom


Which value of energy relative to the elements, uncorrected does entry 3 give? -254 meV/atom


Number 3 is which compound? LiCdTe2


What is the energy relative to the elements, uncorrected in the second record? 189 meV/atom